Crystalline LaRhW4 at its relaxed geometry, computed with PBE.

Lattice parameters (Å, degrees): 7.709 7.709 7.709 90.00 90.00 90.00
Space group F-43m (No. 216)
Symmetry-distinct sites (fractional):
La 0.000 0.000 0.000 x4
Rh 0.250 0.250 0.750 x4
W 0.126 0.126 0.374 x16

Volume   19.1 A^3/atom
Energy   -10.143 eV per atom
DOS at the Fermi energy   6.6 states/eV/f.u.

***

Crystalline La3RhW at its relaxed geometry, computed with PBE.

Lattice parameters (Å, degrees): 5.452 5.452 5.452 90.00 90.00 90.00
Space group Pm-3m (No. 221)
Symmetry-distinct sites (fractional):
La 0.000 0.000 0.500 x3
Rh 0.500 0.500 0.500 x1
W 0.000 0.000 0.000 x1

Volume   32.4 A^3/atom
Distance to the lowest polymorph of the same formula   0 meV per atom
DOS at the Fermi energy   2.4 states/eV/f.u.